No. 1
Density functional theory data (PBE) for an optimized crystal structure of ZrTcPO2.

Properties
raw formation energy = -0.8648 eV per atom
theoretical density = 4.67 g/cm³
raw total energy = -7.713 eV per atom
offset from the most stable computed form = 0.16 eV/f.u.
DOS(E_F) = 2.109 states/eV per cell
space-group type = P4/mmm

Unit cell a=3.9951 b=3.9951 c=5.6241 alpha=90.00 beta=90.00 gamma=90.00
Closest atoms and distances in Å follow each position.
Element x y z (fractional)
O1 0.0000 0.5000 0.0000  2 Zr 2.00
O2 0.5000 0.0000 0.0000  2 Zr 2.00
P1 0.0000 0.0000 0.5000  2 Zr 2.81, 4 Tc 2.82
Tc1 0.5000 0.5000 0.5000  4 P 2.82
Zr1 0.0000 0.0000 0.0000  4 O 2.00

=====

No. 2
Density functional theory data (PBE) for an optimized crystal structure of MgOs3.

Properties
E_form = 90 meV/atom
theoretical density = 16.53 g/cm³
raw total energy = -8.731 eV per atom
DOS(E_F) = 2.673 states/eV per cell
space-group type = P-6m2

Unit cell a=2.7796 b=2.7796 c=8.9344 alpha=90.00 beta=90.00 gamma=120.00
Closest atoms and distances in Å follow each position.
Element x y z (fractional)
Os1 0.0000 0.0000 0.0131  9 Os 2.66-2.78, 3 Mg 2.85
Os2 0.3333 0.6667 0.2500  12 Os 2.66-2.78
Os3 0.0000 0.0000 0.4869  9 Os 2.66-2.78, 3 Mg 2.85
Mg1 0.3333 0.6667 0.7500  6 Mg 2.78, 6 Os 2.85

=====

No. 3
Density functional theory data (PBE) for an optimized crystal structure of Sr2MnFe.

Properties
E_form = 516 meV/atom
theoretical density = 4.05 g/cm³
raw total energy = -4.733 eV per atom
offset from the most stable computed form = 0.61 eV/f.u.
DOS(E_F) = 4.717 states/eV per cell
space-group type = Amm2

Unit cell a=4.1808 b=4.6681 c=6.4407 alpha=68.72 beta=90.00 gamma=90.00
Closest atoms and distances in Å follow each position.
Element x y z (fractional)
Fe1 0.0000 0.6774 0.5204  2 Mn 2.43
Sr1 0.5000 0.2653 0.3444  2 Mn 3.28, 4 Fe 3.31
Sr2 0.0000 0.9840 0.9068  3 Fe 3.29-3.68, 4 Mn 3.31
Mn1 0.5000 0.5733 0.7284  2 Fe 2.43

=====

No. 4
Density functional theory data (PBE) for an optimized crystal structure of CdBi2Pd9.

Properties
E_form = -276 meV/atom
theoretical density = 11.96 g/cm³
raw total energy = -4.894 eV per atom
DOS(E_F) = 4.487 states/eV per cell
space-group type = P4/mmm

Unit cell a=4.1007 b=4.1007 c=12.2837 alpha=90.00 beta=90.00 gamma=90.00
Closest atoms and distances in Å follow each position.
Element x y z (fractional)
Pd1 0.0000 0.5000 0.8370  2 Bi 2.85, 2 Cd 2.87, 8 Pd 2.87-2.95
Pd2 0.5000 0.0000 0.8370  2 Bi 2.85, 2 Cd 2.87, 8 Pd 2.87-2.95
Pd3 0.5000 0.0000 0.1630  2 Bi 2.85, 2 Cd 2.87, 8 Pd 2.87-2.95
Pd4 0.5000 0.5000 0.3361  8 Pd 2.87-2.95, 4 Bi 2.90
Pd5 0.5000 0.5000 0.0000  8 Pd 2.87, 4 Cd 2.90
Pd6 0.0000 0.5000 0.1630  2 Bi 2.85, 2 Cd 2.87, 8 Pd 2.87-2.95
Pd7 0.0000 0.5000 0.5000  8 Pd 2.87-2.90, 4 Bi 2.98
Pd8 0.5000 0.0000 0.5000  8 Pd 2.87-2.90, 4 Bi 2.98
Pd9 0.5000 0.5000 0.6639  8 Pd 2.87-2.95, 4 Bi 2.90
Cd1 0.0000 0.0000 0.0000  12 Pd 2.87-2.90
Bi1 0.0000 0.0000 0.3240  12 Pd 2.85-2.98
Bi2 0.0000 0.0000 0.6760  12 Pd 2.85-2.98

=====

No. 5
Density functional theory data (PBE) for an optimized crystal structure of Ba8Pt2Au3.

Properties
E_form = -621 meV/atom
theoretical density = 5.91 g/cm³
raw total energy = -3.490 eV per atom
DOS(E_F) = 8.664 states/eV per cell
space-group type = C2/m

Unit cell a=8.0345 b=9.4425 c=9.4425 alpha=59.86 beta=73.18 gamma=73.18
Closest atoms and distances in Å follow each position.
Element x y z (fractional)
Ba1 0.7698 0.6255 0.1076  2 Pt 3.19-3.22, 2 Au 3.30-3.39
Ba2 0.2242 0.3708 0.3708  1 Pt 3.13, 2 Au 3.27
Ba3 0.7604 0.1245 0.1245  1 Pt 3.21, 3 Au 3.29-3.37
Ba4 0.2396 0.8755 0.8755  1 Pt 3.21, 3 Au 3.29-3.37
Ba5 0.7758 0.6292 0.6292  1 Pt 3.13, 2 Au 3.27
Ba6 0.2302 0.3745 0.8924  2 Pt 3.19-3.22, 2 Au 3.30-3.39
Ba7 0.2302 0.8924 0.3745  2 Pt 3.19-3.22, 2 Au 3.30-3.39
Ba8 0.7698 0.1076 0.6255  2 Pt 3.19-3.22, 2 Au 3.30-3.39
Au1 0.5000 0.0000 0.0000  6 Ba 3.37-3.39
Au2 0.0000 0.7489 0.2511  6 Ba 3.27-3.30
Au3 0.0000 0.2511 0.7489  6 Ba 3.27-3.30
Pt1 0.0110 0.7480 0.7480  6 Ba 3.13-3.22
Pt2 0.9890 0.2520 0.2520  6 Ba 3.13-3.22

=====

No. 6
Density functional theory data (PBE) for an optimized crystal structure of NiRuPt3.

Properties
E_form = 1621 meV/atom
theoretical density = 11.51 g/cm³
raw total energy = -5.015 eV per atom
offset from the most stable computed form = 7.84 eV/f.u.
DOS(E_F) = 7.457 states/eV per cell
space-group type = Pm-3m

Unit cell a=4.7550 b=4.7550 c=4.7550 alpha=90.00 beta=90.00 gamma=90.00
Closest atoms and distances in Å follow each position.
Element x y z (fractional)
Pt1 0.0000 0.5000 0.0000  2 Ru 2.38
Pt2 0.0000 0.0000 0.5000  2 Ru 2.38
Pt3 0.5000 0.0000 0.0000  2 Ru 2.38
Ru1 0.0000 0.0000 0.0000  6 Pt 2.38
Ni1 0.5000 0.5000 0.5000  12 Pt 3.36

=====

Question: What is the DOS(E_F) in the fifth record?
Answer: 8.664 states/eV per cell